[1]
Below is a relaxed KLiZn2 crystal, with properties calculated at the PBE level.

Values from the calculation:
The value obtained for the density is 3.1 g cm⁻³. For the raw total energy, the calculation gives -1.179 eV/atom. The value obtained for the spin magnetization is 0.00 μB per formula unit. As for the energy above the most stable polymorph in this dataset: 247 meV/atom. The energy of formation from the pure elements comes out at 4.87 kcal/mol of atoms.

a = 5.2209 Å, b = 5.2209 Å, c = 7.0569 Å
α = 90.00°, β = 90.00°, γ = 90.00°
Space group I-4m2 (No. 119)
Asymmetric unit:
1 K 0.0000 0.0000 0.0000 [2 per cell]
2 Li 0.0000 0.5000 0.2500 [2 per cell]
3 Zn 0.0000 0.0000 0.5000 [2 per cell]
4 Zn 0.0000 0.5000 0.7500 [2 per cell]

***

[2]
Below is a relaxed K2LiZn2 crystal, with properties calculated at the PBE level.

Values from the calculation:
The value obtained for the density is 1.9 g cm⁻³. For the raw total energy, the calculation gives -1.033 eV/atom. The value obtained for the spin magnetization is 0.00 μB per formula unit. As for the energy above the most stable polymorph in this dataset: 161 meV/atom. The energy of formation from the pure elements comes out at 6.88 kcal/mol of atoms.

a = 5.3778 Å, b = 5.3778 Å, c = 13.3890 Å
α = 90.00°, β = 90.00°, γ = 90.00°
Space group I4/mmm (No. 139)
Asymmetric unit:
1 K 0.0000 0.5000 0.2500 [4 per cell]
2 Li 0.0000 0.0000 0.0000 [2 per cell]
3 Zn 0.0000 0.0000 0.4086 [4 per cell]

***

[3]
Below is a relaxed KLi2Zn2 crystal, with properties calculated at the PBE level.

Values from the calculation:
The value obtained for the density is 2.4 g cm⁻³. For the raw total energy, the calculation gives -1.426 eV/atom. The value obtained for the spin magnetization is 0.00 μB per formula unit. As for the energy above the most stable polymorph in this dataset: 30 meV/atom. The energy of formation from the pure elements comes out at 1.58 kcal/mol of atoms.

a = 4.5704 Å, b = 4.5704 Å, c = 12.0288 Å
α = 90.00°, β = 90.00°, γ = 90.00°
Space group I4/mmm (No. 139)
Asymmetric unit:
1 K 0.0000 0.0000 0.0000 [2 per cell]
2 Li 0.0000 0.5000 0.2500 [4 per cell]
3 Zn 0.0000 0.0000 0.3915 [4 per cell]

***

[4]
Below is a relaxed K4LiZn crystal, with properties calculated at the PBE level.

Values from the calculation:
The value obtained for the density is 1.1 g cm⁻³. For the raw total energy, the calculation gives -0.926 eV/atom. The value obtained for the spin magnetization is 0.00 μB per formula unit. The energy of formation from the pure elements comes out at 7.77 kcal/mol of atoms.

a = 11.2528 Å, b = 11.2528 Å, c = 11.2528 Å
α = 90.00°, β = 90.00°, γ = 90.00°
Space group F-43m (No. 216)
Asymmetric unit:
1 K 0.1250 0.1250 0.1250 [16 per cell]
2 Li 0.2500 0.2500 0.7500 [4 per cell]
3 Zn 0.0000 0.0000 0.5000 [4 per cell]

***

[5]
Below is a relaxed KLiZn crystal, with properties calculated at the PBE level.

Values from the calculation:
The value obtained for the density is 1.9 g cm⁻³. For the raw total energy, the calculation gives -1.279 eV/atom. The value obtained for the spin magnetization is 0.00 μB per formula unit. As for the energy above the most stable polymorph in this dataset: 51 meV/atom. The energy of formation from the pure elements comes out at 3.45 kcal/mol of atoms.

a = 4.8190 Å, b = 4.8190 Å, c = 4.8866 Å
α = 90.00°, β = 90.00°, γ = 120.00°
Space group P-6m2 (No. 187)
Asymmetric unit:
1 K 0.0000 0.0000 0.0000 [1 per cell]
2 Li 0.6667 0.3333 0.5000 [1 per cell]
3 Zn 0.3333 0.6667 0.5000 [1 per cell]

***

[6]
Below is a relaxed KLiZn2 crystal, with properties calculated at the PBE level.

Values from the calculation:
The value obtained for the density is 2.8 g cm⁻³. For the raw total energy, the calculation gives -1.173 eV/atom. The value obtained for the spin magnetization is 0.00 μB per formula unit. As for the energy above the most stable polymorph in this dataset: 252 meV/atom. The energy of formation from the pure elements comes out at 4.99 kcal/mol of atoms.

a = 7.4985 Å, b = 7.4985 Å, c = 7.4985 Å
α = 90.00°, β = 90.00°, γ = 90.00°
Space group Fm-3m (No. 225)
Asymmetric unit:
1 K 0.0000 0.0000 0.0000 [4 per cell]
2 Li 0.0000 0.0000 0.5000 [4 per cell]
3 Zn 0.2500 0.2500 0.2500 [8 per cell]